Record 1
BaAg2Pt | PBE-GGA | optimized geometry

Structure (POSCAR):
```
BaAg2Pt
1.0
-2.235 -2.310 2.537
2.930 -2.864 -0.027
2.711 2.849 4.982
Pt Ag Ba
1 2 1
direct
0.500 0.873 0.774 Pt
0.500 0.379 0.077 Ag
0.000 0.878 0.077 Ag
0.000 0.370 0.573 Ba
```

- excess energy over the best structure of this formula in the dataset (kJ/mol of atoms) = 13.4
- space-group type = Pm

Record 2
BaAg4Pt | PBE-GGA | optimized geometry

Structure (POSCAR):
```
BaAg4Pt
1.0
0.000 4.020 4.020
4.020 0.000 4.020
4.020 4.020 0.000
Ag Pt Ba
4 1 1
direct
0.374 0.878 0.374 Ag
0.878 0.374 0.374 Ag
0.374 0.374 0.878 Ag
0.374 0.374 0.374 Ag
0.000 0.000 0.000 Pt
0.750 0.750 0.750 Ba
```

- excess energy over the best structure of this formula in the dataset (kJ/mol of atoms) = 0.0
- space-group type = F-43m

Record 3
Ba11AgPt2 | PBE-GGA | optimized geometry

Structure (POSCAR):
```
Ba11AgPt2
1.0
-5.848 -10.221 8.160
-4.303 -11.285 -4.642
6.624 -10.062 4.720
Ba Pt Ag
22 4 2
direct
0.794 0.421 0.853 Ba
0.652 0.699 0.571 Ba
0.077 0.571 0.699 Ba
0.577 0.199 0.071 Ba
0.294 0.353 0.921 Ba
0.848 0.929 0.801 Ba
0.000 0.000 0.000 Ba
0.152 0.071 0.199 Ba
0.689 0.307 0.693 Ba
0.423 0.801 0.929 Ba
0.348 0.301 0.429 Ba
0.311 0.693 0.307 Ba
0.923 0.429 0.301 Ba
0.069 0.147 0.579 Ba
0.931 0.853 0.421 Ba
0.706 0.647 0.079 Ba
0.431 0.921 0.353 Ba
0.811 0.807 0.193 Ba
0.206 0.579 0.147 Ba
0.189 0.193 0.807 Ba
0.569 0.079 0.647 Ba
0.500 0.500 0.500 Ba
0.340 0.342 0.658 Pt
0.160 0.842 0.158 Pt
0.840 0.158 0.842 Pt
0.660 0.658 0.342 Pt
0.250 0.250 0.250 Ag
0.750 0.750 0.750 Ag
```

- space-group type = Ibam

Record 4
BaAg8Pt4 | PBE-GGA | optimized geometry

Structure (POSCAR):
```
BaAg8Pt4
1.0
-3.884 3.062 2.549
-6.528 -0.583 -3.172
-3.420 -3.674 5.274
Pt Ag Ba
4 8 1
direct
0.500 0.500 0.000 Pt
0.500 0.000 0.500 Pt
0.000 0.000 0.500 Pt
0.000 0.500 0.000 Pt
0.000 0.651 0.349 Ag
0.349 0.651 0.651 Ag
0.651 0.349 0.349 Ag
0.500 0.228 0.772 Ag
0.272 0.228 0.228 Ag
0.500 0.772 0.228 Ag
0.728 0.772 0.772 Ag
0.000 0.349 0.651 Ag
0.000 0.000 0.000 Ba
```

- space-group type = I4/mmm

Record 5
BaAg2Pt | PBE-GGA | optimized geometry

Structure (POSCAR):
```
BaAg2Pt
1.0
-0.993 2.927 -2.074
0.297 -2.076 -3.076
-6.586 -1.817 0.590
Ba Pt Ag
1 1 2
direct
0.500 0.500 0.250 Ba
0.500 0.500 0.750 Pt
0.000 0.000 0.558 Ag
0.000 0.000 0.942 Ag
```

- excess energy over the best structure of this formula in the dataset (kJ/mol of atoms) = 33.5
- space-group type = P4/mmm

Record 6
Ba2AgPt2 | PBE-GGA | optimized geometry

Structure (POSCAR):
```
Ba2AgPt2
1.0
8.973 0.000 0.000
0.000 8.973 0.000
0.000 0.000 3.719
Pt Ba Ag
4 4 2
direct
0.650 0.850 0.500 Pt
0.850 0.350 0.500 Pt
0.150 0.650 0.500 Pt
0.350 0.150 0.500 Pt
0.852 0.648 0.000 Ba
0.648 0.148 0.000 Ba
0.148 0.352 0.000 Ba
0.352 0.852 0.000 Ba
0.500 0.500 0.000 Ag
0.000 0.000 0.000 Ag
```

- excess energy over the best structure of this formula in the dataset (kJ/mol of atoms) = 41.9
- space-group type = P4/mbm

Number 1: total magnetic moment 0.00 μB/cell, volume 26.61 A^3/atom, raw total energy -14.36 eV per formula unit. Number 2: total magnetic moment 0.00 μB/cell, volume 21.66 A^3/atom, raw total energy -19.90 eV per formula unit. Number 3: total magnetic moment 0.00 μB/cell, volume 59.09 A^3/atom, raw total energy -38.34 eV per formula unit. Number 4: total magnetic moment 0.00 μB/cell, volume 19.38 A^3/atom, raw total energy -50.88 eV per formula unit. Number 5: total magnetic moment 0.00 μB/cell, volume 23.76 A^3/atom, raw total energy -13.53 eV per formula unit. Number 6: total magnetic moment 0.00 μB/cell, volume 29.95 A^3/atom, raw total energy -19.61 eV per formula unit.